Material: Y2Pd6Pb
Method: DFT, PBE
State: relaxed

It has space group C2/m (No. 12), with a = 13.429 Å, b = 8.249 Å, c = 3.597 Å, α = 90.00°, β = 105.43° and γ = 90.00°. The distinct sites, in fractional coordinates, are Y at (0.161, 0.000, 0.164), Pd at (0.000, 0.240, 0.000), Pd at (0.167, 0.272, 0.667) and Pb at (0.000, 0.500, 0.500).

The value obtained for the total DFT energy (no corrections) is -0.211 hartree per atom.